Ac2Nd4Sn3N2 | PBE | optimized geometry

Geometry as CIF:
```
data_Ac2Nd4Sn3N2
_chemical_formula_sum 'Ac4 Nd8 Sn6 N4'
_cell_length_a 4.967
_cell_length_b 4.967
_cell_length_c 26.577
_cell_angle_alpha 90.00
_cell_angle_beta 90.00
_cell_angle_gamma 90.00
_symmetry_space_group_name_H-M 'I 4/m m m'
_symmetry_Int_Tables_number 139
_symmetry_space_group_name_Hall '-I 4 2'
loop_
_atom_site_label
_atom_site_fract_x
_atom_site_fract_y
_atom_site_fract_z
Ac1 0.000 0.000 0.192
Nd1 0.000 0.500 0.082
Sn1 0.000 0.000 0.329
Sn2 0.000 0.000 0.500
N1 0.000 0.000 0.100
```

Computed properties:
As for the total magnetic moment: 0.0 μB per formula unit. The calculated total energy comes out at -6.02 eV/atom. Its raw formation energy is -0.93 eV per atom.

TlPt2I2 | PBE | optimized geometry

Geometry as CIF:
```
data_TlPt2I2
_chemical_formula_sum 'Tl2 Pt4 I4'
_cell_length_a 3.915
_cell_length_b 3.915
_cell_length_c 17.448
_cell_angle_alpha 90.00
_cell_angle_beta 90.00
_cell_angle_gamma 90.00
_symmetry_space_group_name_H-M 'I 4/m m m'
_symmetry_Int_Tables_number 139
_symmetry_space_group_name_Hall '-I 4 2'
loop_
_atom_site_label
_atom_site_fract_x
_atom_site_fract_y
_atom_site_fract_z
Tl1 0.000 0.000 0.000
Pt1 0.000 0.500 0.250
I1 0.000 0.000 0.374
```

Computed properties:
As for the total magnetic moment: 0.0 μB per formula unit. The calculated total energy comes out at -3.32 eV/atom. Its raw formation energy is 0.19 eV per atom.

Pm7SmTl4 | PBE | optimized geometry

Geometry as CIF:
```
data_Pm7SmTl4
_chemical_formula_sum 'Pm14 Sm2 Tl8'
_cell_length_a 14.901
_cell_length_b 5.868
_cell_length_c 10.545
_cell_angle_alpha 90.00
_cell_angle_beta 123.01
_cell_angle_gamma 90.00
_symmetry_space_group_name_H-M 'C 1 2/m 1'
_symmetry_Int_Tables_number 12
loop_
_symmetry_equiv_pos_as_xyz
'x,y,z'
'-x,-y,-z'
'-x,y,-z'
'x,-y,z'
'x+1/2,y+1/2,z'
'-x+1/2,-y+1/2,-z'
'-x+1/2,y+1/2,-z'
'x+1/2,-y+1/2,z'
loop_
_atom_site_label
_atom_site_fract_x
_atom_site_fract_y
_atom_site_fract_z
Pm1 0.000 0.000 0.000
Pm2 0.062 0.500 0.394
Pm3 0.205 0.500 0.881
Pm4 0.226 0.000 0.664
Sm1 0.000 0.500 0.000
Tl1 0.058 0.000 0.746
Tl2 0.186 0.000 0.333
```

Computed properties:
As for the total magnetic moment: 0.0 μB per formula unit. The formation energy is -1.56 kcal/mol of atoms. The calculated total energy comes out at -4.02 eV/atom.

KBiS3 | PBE | optimized geometry

Geometry as CIF:
```
data_KBiS3
_chemical_formula_sum 'K1 Bi1 S3'
_cell_length_a 5.301
_cell_length_b 5.301
_cell_length_c 5.301
_cell_angle_alpha 90.00
_cell_angle_beta 90.00
_cell_angle_gamma 90.00
_symmetry_space_group_name_H-M 'P m -3 m'
_symmetry_Int_Tables_number 221
_symmetry_space_group_name_Hall '-P 4 2 3'
loop_
_atom_site_label
_atom_site_fract_x
_atom_site_fract_y
_atom_site_fract_z
K1 0.000 0.000 0.000
Bi1 0.500 0.500 0.500
S1 0.000 0.500 0.500
```

Computed properties:
As for the total magnetic moment: 0.0 μB per formula unit. The calculated total energy comes out at -3.63 eV/atom. Its raw formation energy is -0.16 eV per atom. The calculation puts the distance to the lowest polymorph of the same formula at 0.000 eV per atom.

Be2GaPd | PBE | optimized geometry

Geometry as CIF:
```
data_Be2GaPd
_chemical_formula_sum 'Be2 Ga1 Pd1'
_cell_length_a 3.918
_cell_length_b 3.988
_cell_length_c 4.203
_cell_angle_alpha 111.51
_cell_angle_beta 96.93
_cell_angle_gamma 118.61
_symmetry_space_group_name_H-M 'P 1'
_symmetry_Int_Tables_number 1
loop_
_symmetry_equiv_pos_as_xyz
'x,y,z'
loop_
_atom_site_label
_atom_site_fract_x
_atom_site_fract_y
_atom_site_fract_z
Be1 0.000 0.000 0.000
Be2 0.450 0.869 0.300
Ga1 0.259 0.406 0.668
Pd1 0.783 0.537 0.313
```

Computed properties:
As for the total magnetic moment: 0.0 μB per formula unit. The formation energy is -3.67 kcal/mol of atoms. The calculated total energy comes out at -4.08 eV/atom.

Dy3Y5P8 | PBE | optimized geometry

Geometry as CIF:
```
data_Dy3Y5P8
_chemical_formula_sum 'Dy9 Y15 P24'
_cell_length_a 8.0215
_cell_length_b 8.0215
_cell_length_c 19.6489
_cell_angle_alpha 90.00
_cell_angle_beta 90.00
_cell_angle_gamma 120.00
_symmetry_space_group_name_H-M 'R -3 m'
_symmetry_Int_Tables_number 166
_symmetry_space_group_name_Hall '-R 3 2"'
loop_
_atom_site_label
_atom_site_fract_x
_atom_site_fract_y
_atom_site_fract_z
Dy1 0.0000 0.5000 0.0000
Y1 0.0000 0.0000 0.0000
Y2 0.0000 0.0000 0.5000
Y3 0.0000 0.5000 0.5000
P1 0.0000 0.0000 0.2502
P2 0.0003 0.5002 0.2502
```

Computed properties:
As for the total magnetic moment: 0.0 μB per formula unit. The formation energy is -37.44 kcal/mol of atoms. The calculated total energy comes out at -7.21 eV/atom.

VZn | PBE | optimized geometry

Geometry as CIF:
```
data_VZn
_chemical_formula_sum 'V8 Zn8'
_cell_length_a 7.919
_cell_length_b 7.919
_cell_length_c 7.919
_cell_angle_alpha 90.00
_cell_angle_beta 90.00
_cell_angle_gamma 90.00
_symmetry_space_group_name_H-M 'I -4 3 m'
_symmetry_Int_Tables_number 217
_symmetry_space_group_name_Hall 'I -4 2 3'
loop_
_atom_site_label
_atom_site_fract_x
_atom_site_fract_y
_atom_site_fract_z
V1 0.104 0.104 0.104
Zn1 0.202 0.202 0.798
```

Computed properties:
As for the total magnetic moment: 0.0 μB per formula unit. The formation energy is 26.85 kcal/mol of atoms. The calculated total energy comes out at -4.03 eV/atom.

PuTh3Zn8 | PBE | optimized geometry

Geometry as CIF:
```
data_PuTh3Zn8
_chemical_formula_sum 'Pu3 Th9 Zn24'
_cell_length_a 5.5358
_cell_length_b 5.5358
_cell_length_c 27.3112
_cell_angle_alpha 90.00
_cell_angle_beta 90.00
_cell_angle_gamma 120.00
_symmetry_space_group_name_H-M 'R 3 m'
_symmetry_Int_Tables_number 160
_symmetry_space_group_name_Hall 'R 3 -2"'
loop_
_atom_site_label
_atom_site_fract_x
_atom_site_fract_y
_atom_site_fract_z
Pu1 0.0000 0.0000 0.0000
Th1 0.0000 0.0000 0.3694
Th2 0.0000 0.0000 0.4974
Th3 0.0000 0.0000 0.8773
Zn1 0.0000 0.0000 0.1856
Zn2 0.0000 0.0000 0.6853
Zn3 0.0001 0.5000 0.4358
Zn4 0.1685 0.3371 0.2693
```

Computed properties:
As for the total magnetic moment: 6.2 μB per formula unit. The formation energy is -4.86 kcal/mol of atoms. The calculated total energy comes out at -4.11 eV/atom.

K2Tl4Hg3Bi | PBE | optimized geometry

Geometry as CIF:
```
data_K2Tl4Hg3Bi
_chemical_formula_sum 'K2 Tl4 Hg3 Bi1'
_cell_length_a 5.208
_cell_length_b 5.208
_cell_length_c 12.910
_cell_angle_alpha 90.00
_cell_angle_beta 90.00
_cell_angle_gamma 90.00
_symmetry_space_group_name_H-M 'P -4 m 2'
_symmetry_Int_Tables_number 115
loop_
_symmetry_equiv_pos_as_xyz
'x,y,z'
'y,-x,-z'
'-x,-y,z'
'-y,x,-z'
'-x,y,z'
'-y,-x,-z'
'x,-y,z'
'y,x,-z'
loop_
_atom_site_label
_atom_site_fract_x
_atom_site_fract_y
_atom_site_fract_z
K1 0.000 0.500 0.245
Tl1 0.000 0.000 0.500
Tl2 0.000 0.500 0.862
Tl3 0.500 0.500 0.500
Hg1 0.000 0.000 0.000
Hg2 0.000 0.500 0.631
Bi1 0.500 0.500 0.000
```

Computed properties:
As for the total magnetic moment: 0.0 μB per formula unit. The formation energy is -2.86 kcal/mol of atoms. The calculated total energy comes out at -1.77 eV/atom.

TlCdRh2 | PBE | optimized geometry

Geometry as CIF:
```
data_TlCdRh2
_chemical_formula_sum 'Tl4 Cd4 Rh8'
_cell_length_a 7.311
_cell_length_b 7.311
_cell_length_c 5.834
_cell_angle_alpha 90.00
_cell_angle_beta 90.00
_cell_angle_gamma 90.00
_symmetry_space_group_name_H-M 'I -4 2 d'
_symmetry_Int_Tables_number 122
_symmetry_space_group_name_Hall 'I -4 2bw'
loop_
_atom_site_label
_atom_site_fract_x
_atom_site_fract_y
_atom_site_fract_z
Tl1 0.000 0.000 0.000
Cd1 0.000 0.000 0.500
Rh1 0.248 0.250 0.125
```

Computed properties:
As for the total magnetic moment: 0.0 μB per formula unit. The formation energy is 9.21 kcal/mol of atoms. The calculated total energy comes out at -4.10 eV/atom. The calculation puts the distance to the lowest polymorph of the same formula at 0.447 eV per atom.

CdSiMoBr | PBE | optimized geometry

Geometry as CIF:
```
data_CdSiMoBr
_chemical_formula_sum 'Cd2 Si2 Mo2 Br2'
_cell_length_a 16.970
_cell_length_b 3.456
_cell_length_c 3.082
_cell_angle_alpha 90.00
_cell_angle_beta 99.77
_cell_angle_gamma 90.00
_symmetry_space_group_name_H-M 'C 1 m 1'
_symmetry_Int_Tables_number 8
loop_
_symmetry_equiv_pos_as_xyz
'x,y,z'
'x,-y,z'
'x+1/2,y+1/2,z'
'x+1/2,-y+1/2,z'
loop_
_atom_site_label
_atom_site_fract_x
_atom_site_fract_y
_atom_site_fract_z
Cd1 0.000 0.000 0.000
Si1 0.376 0.000 0.634
Mo1 0.313 0.500 0.075
Br1 0.192 0.500 0.462
```

Computed properties:
As for the total magnetic moment: 0.0 μB per formula unit. The calculated total energy comes out at -4.61 eV/atom. Its raw formation energy is 0.10 eV per atom. The calculation puts the distance to the lowest polymorph of the same formula at 0.033 eV per atom.

SrGa2HgIr | PBE | optimized geometry

Geometry as CIF:
```
data_SrGa2HgIr
_chemical_formula_sum 'Sr1 Ga2 Hg1 Ir1'
_cell_length_a 4.819
_cell_length_b 4.819
_cell_length_c 5.355
_cell_angle_alpha 90.00
_cell_angle_beta 90.00
_cell_angle_gamma 90.00
_symmetry_space_group_name_H-M 'P 4/m m m'
_symmetry_Int_Tables_number 123
_symmetry_space_group_name_Hall '-P 4 2'
loop_
_atom_site_label
_atom_site_fract_x
_atom_site_fract_y
_atom_site_fract_z
Sr1 0.000 0.000 0.000
Ga1 0.000 0.500 0.500
Hg1 0.500 0.500 0.000
Ir1 0.500 0.500 0.500
```

Computed properties:
As for the total magnetic moment: 0.0 μB per formula unit. The formation energy is -7.84 kcal/mol of atoms. The calculated total energy comes out at -3.72 eV/atom. The calculation puts the distance to the lowest polymorph of the same formula at 0.019 eV per atom.